Record 1
ScCu2Te3 | the Alexandria database | PBE | optimized geometry; crystal system = triclinic; space group = P-1 (2); total DFT energy (no corrections) = -4.545 eV/atom
1.0
4.010 0.000 0.000
-0.003 7.405 0.000
-1.982 -1.508 10.254
Sc Cu Te
2 4 6
Cartesian
0.011 -0.121 3.103 Sc
2.014 6.018 7.151 Sc
0.014 2.484 4.347 Cu
0.008 4.944 9.299 Cu
2.017 0.953 0.956 Cu
2.011 3.413 5.907 Cu
0.010 2.417 1.750 Te
0.008 4.989 5.101 Te
0.012 0.047 8.624 Te
2.013 5.850 1.630 Te
2.017 0.909 5.154 Te
2.015 3.480 8.504 Te

Record 2
ScCu2Te | the Alexandria database | PBE | optimized geometry; crystal system = orthorhombic; ΔE to the lowest computed polymorph = 118 meV per atom; space group = Imm2 (44)
1.0
-1.966 1.966 4.780
1.966 -1.966 4.780
1.966 1.966 -4.780
Sc Cu Te
1 2 1
Cartesian
0.000 0.000 0.000 Sc
0.000 0.000 4.260 Cu
0.000 1.966 2.626 Cu
1.966 0.000 2.276 Te

Record 3
Sc2CuTe | the Alexandria database | PBE | optimized geometry; crystal system = tetragonal; ΔE to the lowest computed polymorph = 169 meV per atom; space group = I-4m2 (119)
1.0
-2.027 2.027 5.004
2.027 -2.027 5.004
2.027 2.027 -5.004
Sc Cu Te
2 1 1
Cartesian
0.000 0.000 0.000 Sc
0.000 2.027 2.502 Sc
0.000 0.000 5.004 Cu
2.027 0.000 2.502 Te

Record 4
ScCu2Te | the Alexandria database | PBE | optimized geometry; crystal system = trigonal; ΔE to the lowest computed polymorph = 224 meV per atom; space group = R-3m (166)
1.0
2.077 1.199 5.140
-2.077 1.199 5.140
0.000 -2.398 5.140
Sc Cu Te
1 2 1
Cartesian
0.000 0.000 0.000 Sc
0.000 0.000 3.775 Cu
0.000 0.000 11.645 Cu
0.000 0.000 7.710 Te

Record 5
ScCuTe | the Alexandria database | PBE | optimized geometry; crystal system = trigonal; space group = R-3m (166); total DFT energy (no corrections) = -5.156 eV/atom
1.0
2.105 1.215 10.102
-2.105 1.215 10.102
0.000 -2.431 10.102
Sc Cu Te
2 2 2
Cartesian
0.000 0.000 1.701 Sc
0.000 0.000 28.606 Sc
0.000 0.000 9.912 Cu
0.000 0.000 20.396 Cu
0.000 0.000 6.920 Te
0.000 0.000 23.387 Te

Record 6
ScCu2Te | the Alexandria database | PBE | optimized geometry; crystal system = trigonal; ΔE to the lowest computed polymorph = 0 meV per atom; space group = R3m (160)
1.0
2.057 1.188 5.276
-2.057 1.188 5.276
0.000 -2.376 5.276
Sc Cu Te
1 2 1
Cartesian
0.000 0.000 0.000 Sc
0.000 0.000 3.416 Cu
0.000 0.000 9.277 Cu
0.000 0.000 12.402 Te

Record 7
Sc4CuTe | the Alexandria database | PBE | optimized geometry; crystal system = cubic; ΔE to the lowest computed polymorph = 685 meV per atom; space group = F-43m (216)
1.0
0.000 4.107 4.107
4.107 0.000 4.107
4.107 4.107 0.000
Sc Cu Te
4 1 1
Cartesian
1.028 1.028 1.028 Sc
3.079 3.079 1.028 Sc
3.079 1.028 3.079 Sc
1.028 3.079 3.079 Sc
4.107 4.107 4.107 Cu
6.161 6.161 6.161 Te

Record 8
ScCu2Te | the Alexandria database | PBE | optimized geometry; crystal system = cubic; ΔE to the lowest computed polymorph = 248 meV per atom; space group = F-43m (216)
1.0
0.000 3.328 3.328
3.328 0.000 3.328
3.328 3.328 0.000
Sc Cu Te
1 2 1
Cartesian
0.000 0.000 0.000 Sc
3.328 3.328 3.328 Cu
4.992 4.992 4.992 Cu
1.664 1.664 1.664 Te

Record 9
ScCuTe2 | the Alexandria database | PBE | optimized geometry; crystal system = orthorhombic; space group = Amm2 (38); total DFT energy (no corrections) = -4.874 eV/atom
1.0
3.874 0.000 0.000
0.000 1.916 6.416
0.000 -1.916 6.416
Sc Cu Te
1 1 2
Cartesian
0.000 0.000 0.000 Sc
1.937 0.000 10.320 Cu
0.000 0.000 4.191 Te
1.937 0.000 7.608 Te

Record 10
Sc2CuTe4 | the Alexandria database | PBE | optimized geometry; crystal system = tetragonal; ΔE to the lowest computed polymorph = 316 meV per atom; space group = I4/mmm (139)
1.0
-2.557 2.557 7.570
2.557 -2.557 7.570
2.557 2.557 -7.570
Sc Cu Te
2 1 4
Cartesian
0.000 0.000 1.779 Sc
0.000 0.000 13.360 Sc
0.000 0.000 7.570 Cu
2.557 0.000 0.000 Te
0.000 0.000 4.547 Te
0.000 2.557 0.000 Te
0.000 0.000 10.592 Te

Record 11
Sc2CuTe2 | the Alexandria database | PBE | optimized geometry; crystal system = tetragonal; ΔE to the lowest computed polymorph = 0 meV per atom; space group = P4/mbm (127)
1.0
7.711 0.000 0.000
0.000 7.711 0.000
0.000 0.000 3.893
Sc Cu Te
4 2 4
Cartesian
1.127 2.728 0.000 Sc
2.728 6.584 0.000 Sc
4.983 1.127 0.000 Sc
6.584 4.983 0.000 Sc
0.000 0.000 0.000 Cu
3.855 3.855 0.000 Cu
1.209 5.064 1.947 Te
2.646 1.209 1.947 Te
5.064 6.502 1.947 Te
6.502 2.646 1.947 Te

Record 12
ScCu2Te | the Alexandria database | PBE | optimized geometry; crystal system = tetragonal; ΔE to the lowest computed polymorph = 100 meV per atom; space group = P4mm (99)
1.0
3.582 0.000 0.000
0.000 3.582 0.000
0.000 0.000 5.999
Sc Cu Te
1 2 1
Cartesian
0.000 0.000 0.000 Sc
0.000 0.000 3.467 Cu
1.791 1.791 4.202 Cu
1.791 1.791 1.395 Te

Record 13
Sc2CuTe | the Alexandria database | PBE | optimized geometry; crystal system = cubic; ΔE to the lowest computed polymorph = 230 meV per atom; space group = Fm-3m (225)
1.0
0.000 3.450 3.450
3.450 0.000 3.450
3.450 3.450 0.000
Sc Cu Te
2 1 1
Cartesian
1.725 1.725 1.725 Sc
5.176 5.176 5.176 Sc
0.000 0.000 0.000 Cu
3.450 3.450 3.450 Te

Record 14
ScCuTe3 | the Alexandria database | PBE | optimized geometry; crystal system = cubic; ΔE to the lowest computed polymorph = 765 meV per atom; space group = Pm-3m (221)
1.0
5.490 0.000 0.000
0.000 5.490 0.000
0.000 0.000 5.490
Sc Cu Te
1 1 3
Cartesian
0.000 0.000 0.000 Sc
2.745 2.745 2.745 Cu
0.000 0.000 2.745 Te
0.000 2.745 0.000 Te
2.745 0.000 0.000 Te

Record 15
ScCu2Te | the Alexandria database | PBE | optimized geometry; crystal system = monoclinic; ΔE to the lowest computed polymorph = 95 meV per atom; space group = P2/m (10)
1.0
3.579 0.000 0.000
0.000 4.263 0.000
-0.018 0.000 5.155
Sc Cu Te
1 2 1
Cartesian
0.000 0.000 0.000 Sc
1.784 2.132 1.155 Cu
1.777 2.132 4.000 Cu
1.781 0.000 2.577 Te